No. 1
This record from Alexandria describes a relaxed SrTiCu3 crystal. The functional is GGA-PBE.

**Fermi-level density of states**: 0.8686 states/eV/atom
**Total energy**: -19.53 eV/cell
**Offset from the most stable computed form**: 0 meV per atom
**ΔH_f (0 K)**: 0.468 eV per atom
**SG**: Pm-3m
**Size of the total moment**: 0.9 Bohr magnetons per cell

Cell: 4.821 4.821 4.821 Å, 90.00 90.00 90.00°
Element x y z (fractional)
Sr (0.000, 0.000, 0.000)
Ti (0.500, 0.500, 0.500)
Cu (0.000, 0.500, 0.500)
Cu (0.500, 0.000, 0.500)
Cu (0.500, 0.500, 0.000)

No. 2
This record from Alexandria describes a relaxed NaSrTlRu2 crystal. The functional is GGA-PBE.

**Fermi-level density of states**: 1.2858 states/eV/atom
**Total energy**: -15.42 eV/cell
**ΔH_f (0 K)**: 1.699 eV per atom
**SG**: P4/mmm
**Size of the total moment**: 2.7 Bohr magnetons per cell

Cell: 5.100 5.100 6.046 Å, 90.00 90.00 90.00°
Element x y z (fractional)
Na (0.000, 0.000, 0.000)
Sr (0.500, 0.500, 0.500)
Tl (0.500, 0.500, 0.000)
Ru (0.000, 0.500, 0.500)
Ru (0.500, 0.000, 0.500)

No. 3
This record from Alexandria describes a relaxed LaYIr crystal. The functional is GGA-PBE.

**Fermi-level density of states**: 0.8306 states/eV/atom
**Total energy**: -43.87 eV/cell
**Offset from the most stable computed form**: 57 meV per atom
**ΔH_f (0 K)**: -0.561 eV per atom
**SG**: P2_1/m
**Size of the total moment**: 0.0 Bohr magnetons per cell

Cell: 5.658 5.245 5.945 Å, 90.00 103.30 90.00°
Element x y z (fractional)
La (0.086, 0.250, 0.301)
La (0.914, 0.750, 0.699)
Y (0.499, 0.750, 0.170)
Y (0.501, 0.250, 0.830)
Ir (0.382, 0.750, 0.636)
Ir (0.618, 0.250, 0.364)

No. 4
This record from Alexandria describes a relaxed TaNiIr2 crystal. The functional is GGA-PBE.

**Fermi-level density of states**: 1.1237 states/eV/atom
**Total energy**: -36.64 eV/cell
**ΔH_f (0 K)**: -0.321 eV per atom
**SG**: Pmm2
**Size of the total moment**: 0.0 Bohr magnetons per cell

Cell: 2.775 3.840 5.449 Å, 90.00 90.00 90.00°
Element x y z (fractional)
Ta (0.000, 0.000, 0.000)
Ni (0.500, 0.500, 0.743)
Ir (0.000, 0.000, 0.526)
Ir (0.500, 0.500, 0.261)

No. 5
This record from Alexandria describes a relaxed ScSiF3 crystal. The functional is GGA-PBE.

**Fermi-level density of states**: 0.4524 states/eV/atom
**Total energy**: -24.33 eV/cell
**Offset from the most stable computed form**: 760 meV per atom
**Uncorrected formation energy**: -7.0 eV per formula unit
**SG**: Pm-3m
**Size of the total moment**: 2.0 Bohr magnetons per cell

Cell: 4.291 4.291 4.291 Å, 90.00 90.00 90.00°
Element x y z (fractional)
Sc (0.000, 0.000, 0.000)
Si (0.500, 0.500, 0.500)
F (0.000, 0.500, 0.500)
F (0.500, 0.000, 0.500)
F (0.500, 0.500, 0.000)

No. 6
This record from Alexandria describes a relaxed Cs3Na5Hg2 crystal. The functional is GGA-PBE.

**Fermi-level density of states**: 0.5646 states/eV/atom
**Total energy**: -20.84 eV/cell
**ΔH_f (0 K)**: -0.066 eV per atom
**SG**: Ibam
**Size of the total moment**: 0.0 Bohr magnetons per cell

Cell: 11.834 11.834 11.834 Å, 106.41 87.44 139.66°
Element x y z (fractional)
Cs (0.146, 0.246, 0.392)
Cs (0.250, 0.250, 0.000)
Cs (0.354, 0.746, 0.099)
Cs (0.646, 0.254, 0.901)
Cs (0.750, 0.750, 0.000)
Cs (0.854, 0.754, 0.608)
Na (0.017, 0.750, 0.267)
Na (0.103, 0.664, 0.767)
Na (0.250, 0.750, 0.500)
Na (0.397, 0.164, 0.561)
Na (0.483, 0.750, 0.733)
Na (0.517, 0.250, 0.267)
Na (0.603, 0.836, 0.439)
Na (0.750, 0.250, 0.500)
Na (0.897, 0.336, 0.233)
Na (0.983, 0.250, 0.733)
Hg (0.160, 0.875, 0.035)
Hg (0.340, 0.375, 0.714)
Hg (0.660, 0.625, 0.286)
Hg (0.840, 0.125, 0.965)

No. 7
This record from Alexandria describes a relaxed HfAg2HgAu crystal. The functional is GGA-PBE.

**Fermi-level density of states**: 0.6377 states/eV/atom
**Total energy**: -14.43 eV/cell
**ΔH_f (0 K)**: 0.961 eV per atom
**SG**: P4/mmm
**Size of the total moment**: 0.0 Bohr magnetons per cell

Cell: 5.085 5.085 5.296 Å, 90.00 90.00 90.00°
Element x y z (fractional)
Hf (0.000, 0.000, 0.000)
Ag (0.000, 0.500, 0.500)
Ag (0.500, 0.000, 0.500)
Hg (0.000, 0.000, 0.500)
Au (0.500, 0.500, 0.000)

No. 8
This record from Alexandria describes a relaxed Dy3AlZn4 crystal. The functional is GGA-PBE.

**Fermi-level density of states**: 0.7605 states/eV/atom
**Total energy**: -23.87 eV/cell
**ΔH_f (0 K)**: -0.153 eV per atom
**SG**: Immm
**Size of the total moment**: 0.0 Bohr magnetons per cell

Cell: 8.939 8.939 8.939 Å, 156.66 139.55 47.22°
Element x y z (fractional)
Dy (0.000, 0.000, 0.000)
Dy (0.283, 0.783, 0.500)
Dy (0.717, 0.217, 0.500)
Al (0.500, 0.500, 0.000)
Zn (0.095, 0.380, 0.715)
Zn (0.336, 0.620, 0.715)
Zn (0.664, 0.380, 0.285)
Zn (0.905, 0.620, 0.285)

> Look up the Fermi-level density of states of the eighth one.

0.7605 states/eV/atom

> Fermi-level density of states of number 8 (Dy3AlZn4)?

0.7605 states/eV/atom

> Among the records above, which one has the highest size of the total moment?

NaSrTlRu2

> Which of these has the lowest total energy?

LaYIr